The following is a DFT calculation (meta-GGA SCAN) of a crystal of TlHg3Sb2Br3 relaxed with PBEsol.

E_form (uncorrected) ... -0.452 eV per atom
Crystal system ... orthorhombic

abc: 6.5884 13.1231 13.1246
angles: 90.00 90.00 90.00
Closest atoms and distances in Å follow each position.
Element x y z (fractional)
Tl1 0.0027 0.2500 0.7563  6 Br 3.16-3.50
Tl2 0.9973 0.2500 0.2563  6 Br 3.16-3.50
Tl3 0.0027 0.7500 0.7437  6 Br 3.16-3.50
Tl4 0.9973 0.7500 0.2437  6 Br 3.16-3.50
Hg1 0.5296 0.0000 0.7500  2 Sb 2.69, 1 Br 2.85
Hg2 0.4742 0.2500 0.0086  2 Sb 2.69, 2 Br 2.83-2.84
Hg3 0.5296 0.5000 0.7500  2 Sb 2.69, 1 Br 2.85
Hg4 0.4704 0.0000 0.2500  2 Sb 2.69, 1 Br 2.85
Hg5 0.5258 0.7500 0.9914  2 Sb 2.69, 2 Br 2.83-2.84
Hg6 0.0000 0.5000 0.0000  2 Sb 2.68
Hg7 0.0000 0.5000 0.5000  2 Sb 2.68
Hg8 0.4742 0.7500 0.4914  2 Sb 2.69, 2 Br 2.83-2.84
Hg9 0.5258 0.2500 0.5086  2 Sb 2.69, 2 Br 2.83-2.84
Hg10 0.4704 0.5000 0.2500  2 Sb 2.69, 1 Br 2.85
Hg11 0.0000 0.0000 0.0000  2 Sb 2.68
Hg12 0.0000 0.0000 0.5000  2 Sb 2.68
Sb1 0.6283 0.0583 0.5600  3 Hg 2.68-2.69, 1 Sb 2.77
Sb2 0.3717 0.0583 0.0600  3 Hg 2.68-2.69, 1 Sb 2.77
Sb3 0.6283 0.4417 0.5600  3 Hg 2.68-2.69, 1 Sb 2.77
Sb4 0.3717 0.4417 0.0600  3 Hg 2.68-2.69, 1 Sb 2.77
Sb5 0.6283 0.5583 0.9400  3 Hg 2.68-2.69, 1 Sb 2.77
Sb6 0.6283 0.9417 0.9400  3 Hg 2.68-2.69, 1 Sb 2.77
Sb7 0.3717 0.5583 0.4400  3 Hg 2.68-2.69, 1 Sb 2.77
Sb8 0.3717 0.9417 0.4400  3 Hg 2.68-2.69, 1 Sb 2.77
Br1 0.4766 0.2500 0.7927  1 Hg 2.83, 1 Tl 3.16
Br2 0.4766 0.7500 0.7073  1 Hg 2.83, 1 Tl 3.16
Br3 0.0950 0.7500 0.9925  1 Hg 2.84
Br4 0.0977 0.0000 0.7500  1 Hg 2.85
Br5 0.5234 0.2500 0.2927  1 Hg 2.83, 1 Tl 3.16
Br6 0.0977 0.5000 0.7500  1 Hg 2.85
Br7 0.9050 0.2500 0.0075  1 Hg 2.84
Br8 0.9023 0.5000 0.2500  1 Hg 2.85
Br9 0.0950 0.2500 0.5075  1 Hg 2.84
Br10 0.9023 0.0000 0.2500  1 Hg 2.85
Br11 0.9050 0.7500 0.4925  1 Hg 2.84
Br12 0.5234 0.7500 0.2073  1 Hg 2.83, 1 Tl 3.16

The following is a DFT calculation (meta-GGA SCAN) of a crystal of ScHgBr2 relaxed with PBEsol.

E_form (uncorrected) ... -1.222 eV per atom
Density of states at the Fermi level ... 0.4748 states/eV per atom
Crystal system ... monoclinic

abc: 3.6040 3.6036 9.8776
angles: 99.95 90.00 120.00
Closest atoms and distances in Å follow each position.
Element x y z (fractional)
Br1 0.7780 0.5560 0.8244  3 Sc 2.69
Br2 0.2220 0.4440 0.1756  3 Sc 2.69
Hg1 0.0000 0.0000 0.5000  6 Hg 3.60, 6 Br 3.74-3.78
Sc1 0.5000 0.0000 0.0000  6 Br 2.69

The following is a DFT calculation (meta-GGA SCAN) of a crystal of HgSe2Br relaxed with PBEsol.

E_form (uncorrected) ... 0.600 eV per atom
Density of states at the Fermi level ... 0.4580 states/eV per atom
Energy above the lowest structure with this stoichiometry ... 0.620 eV/atom
Crystal system ... tetragonal

abc: 3.1383 5.2550 5.2550
angles: 90.00 90.00 90.00
Closest atoms and distances in Å follow each position.
Element x y z (fractional)
Br1 0.5000 0.5000 0.5000  8 Se 3.06, 2 Br 3.14
Hg1 0.5000 0.0000 0.0000  8 Se 3.06, 2 Hg 3.14
Se1 0.0000 0.0000 0.5000  4 Br 3.06, 4 Hg 3.06, 2 Se 3.14
Se2 0.0000 0.5000 0.0000  4 Hg 3.06, 4 Br 3.06, 2 Se 3.14

The following is a DFT calculation (meta-GGA SCAN) of a crystal of HgSe2Br relaxed with PBEsol.

E_form (uncorrected) ... 0.193 eV per atom
Density of states at the Fermi level ... 0.6901 states/eV per atom
Energy above the lowest structure with this stoichiometry ... 0.213 eV/atom
Crystal system ... orthorhombic

abc: 3.8737 3.9512 7.6861
angles: 90.00 90.00 119.35
Closest atoms and distances in Å follow each position.
Element x y z (fractional)
Br1 0.5000 0.0000 0.5000  4 Se 2.87
Hg1 0.5000 0.0000 0.0000  4 Se 2.59
Se1 0.0000 0.0000 0.7761  2 Hg 2.59, 2 Br 2.87
Se2 0.0000 0.0000 0.2239  2 Hg 2.59, 2 Br 2.87

The following is a DFT calculation (meta-GGA SCAN) of a crystal of Hg3Se2Br2 relaxed with PBEsol.

E_form (uncorrected) ... -0.380 eV per atom
Crystal system ... monoclinic

abc: 9.2560 9.7896 10.0325
angles: 90.77 90.00 118.21
Closest atoms and distances in Å follow each position.
Element x y z (fractional)
Br1 0.6230 0.2461 0.4743  4 Hg 3.16-3.19
Br2 0.3770 0.7539 0.5257  4 Hg 3.16-3.19
Br3 0.8728 0.7455 0.5267  6 Hg 3.15-3.35
Br4 0.1272 0.2545 0.4733  6 Hg 3.15-3.35
Br5 0.8828 0.7656 0.9970  3 Hg 2.85-2.92
Br6 0.1172 0.2344 0.0030  3 Hg 2.85-2.92
Br7 0.6217 0.2434 0.0338  5 Hg 2.95-3.18
Br8 0.3783 0.7566 0.9662  5 Hg 2.95-3.18
Hg1 0.7720 0.5440 0.2142  2 Se 2.52
Hg2 0.2280 0.4560 0.7858  2 Se 2.52
Hg3 0.4720 0.9440 0.2145  2 Se 2.52
Hg4 0.5280 0.0560 0.7855  2 Se 2.52
Hg5 0.2497 0.0000 0.5000  2 Se 2.54
Hg6 0.7503 0.0000 0.5000  2 Se 2.54
Hg7 0.5000 0.5000 0.5000  2 Se 2.54
Hg8 0.0000 0.5000 0.5000  2 Se 2.54
Hg9 0.3373 0.2435 0.2052  2 Se 2.55, 1 Br 2.85
Hg10 0.0938 0.7565 0.7948  2 Se 2.55, 1 Br 2.85
Hg11 0.6627 0.7565 0.7948  2 Se 2.55, 1 Br 2.85
Hg12 0.9062 0.2435 0.2052  2 Se 2.55, 1 Br 2.85
Se1 0.2077 0.9541 0.2502  3 Hg 2.52-2.55
Se2 0.2536 0.0459 0.7498  3 Hg 2.52-2.55
Se3 0.7923 0.0459 0.7498  3 Hg 2.52-2.55
Se4 0.7464 0.9541 0.2502  3 Hg 2.52-2.55
Se5 0.4977 0.5345 0.2496  3 Hg 2.52-2.55
Se6 0.9632 0.4655 0.7504  3 Hg 2.52-2.55
Se7 0.5023 0.4655 0.7504  3 Hg 2.52-2.55
Se8 0.0368 0.5345 0.2496  3 Hg 2.52-2.55

The following is a DFT calculation (meta-GGA SCAN) of a crystal of HgSe2Br relaxed with PBEsol.

E_form (uncorrected) ... 0.227 eV per atom
Density of states at the Fermi level ... 0.5413 states/eV per atom
Energy above the lowest structure with this stoichiometry ... 0.247 eV/atom
Crystal system ... tetragonal

abc: 3.8106 3.8106 7.7794
angles: 104.18 104.18 90.00
Closest atoms and distances in Å follow each position.
Element x y z (fractional)
Br1 0.5000 0.5000 0.0000  4 Se 2.69
Hg1 0.2500 0.7500 0.5000  4 Se 2.69
Se1 0.0000 0.0000 0.0000  4 Br 2.69
Se2 0.7500 0.2500 0.5000  4 Hg 2.69